SrBeIr | PBE-GGA | optimized geometry

Cell and atoms, written as POSCAR:
```
SrBeIr
1.0
0.000 3.222 3.222
3.222 0.000 3.222
3.222 3.222 0.000
Sr Be Ir
1 1 1
direct
0.000 0.000 0.000
0.500 0.500 0.500
0.750 0.750 0.750
```

Summary:
Uncorrected energy: -4.241 eV per atom
Space-group type: No. 216